Entry 1:
{"formula": "Ta2Sn2F", "functional": "PBE", "state": "optimized geometry", "lattice_angstrom": [[8.361, 0.000, 0.000], [0.000, 8.361, 0.000], [0.000, 0.000, 3.043]], "species": ["Sn", "Sn", "F", "Ta", "Ta", "Sn", "Ta", "Ta", "Sn", "F"], "frac_coords": [[0.678, 0.178, 0.000], [0.822, 0.678, 0.000], [0.000, 0.000, 0.000], [0.115, 0.615, 0.500], [0.885, 0.385, 0.500], [0.322, 0.822, 0.000], [0.385, 0.115, 0.500], [0.615, 0.885, 0.500], [0.178, 0.322, 0.000], [0.500, 0.500, 0.000]], "e_form_raw_kj_per_mol_fu": 31, "sg": "P4/mbm, No. 127", "dft_energy_ev_per_atom": -6.6515, "relative_energy_mev_per_atom": 3}

***

Entry 2:
{"formula": "Ag2RhAu", "functional": "PBE", "state": "optimized geometry", "lattice_angstrom": [[-1.689, 2.232, 0.466], [-1.894, -1.050, -1.834], [-3.750, -4.142, 6.243]], "species": ["Ag", "Au", "Rh", "Ag"], "frac_coords": [[0.000, 0.000, 0.992], [0.000, 0.000, 0.509], [0.500, 0.500, 0.750], [0.500, 0.500, 0.249]], "sg": "P4mm, No. 99", "ef_ev_per_atom": 0.139, "dft_energy_ev_per_atom": -3.9437}

***

Entry 3:
{"formula": "TiAgAu6", "functional": "PBE", "state": "optimized geometry", "lattice_angstrom": [[3.940, 0.000, 1.075], [1.820, 4.586, 1.088], [-0.012, -0.157, 7.797]], "species": ["Ti", "Au", "Ag", "Au", "Au", "Au", "Au", "Au"], "frac_coords": [[0.000, 0.000, 0.000], [0.252, 0.376, 0.119], [0.000, 0.500, 0.500], [0.503, 0.237, 0.756], [0.752, 0.127, 0.370], [0.497, 0.763, 0.244], [0.248, 0.873, 0.630], [0.748, 0.624, 0.881]], "sg": "C2/m, No. 12", "ef_ev_per_atom": -0.162, "dft_energy_ev_per_atom": -3.9628}

***

Entry 4:
{"formula": "HgP2", "functional": "PBE", "state": "optimized geometry", "lattice_angstrom": [[3.934, 0.000, 0.034], [0.000, 3.317, 0.000], [-2.910, 0.000, 10.798]], "species": ["P", "P", "P", "Hg", "Hg", "P"], "frac_coords": [[0.171, 0.500, 0.732], [0.829, 0.500, 0.268], [0.829, 0.000, 0.768], [0.000, 0.000, 0.000], [0.000, 0.500, 0.500], [0.171, 0.000, 0.232]], "sg": "C2/m, No. 12", "ef_ev_per_atom": 0.148, "dft_energy_ev_per_atom": -3.5591}

***

Entry 5:
{"formula": "RuPtN2", "functional": "PBE", "state": "optimized geometry", "lattice_angstrom": [[4.777, 0.000, 0.000], [0.000, 4.777, 0.000], [2.388, 2.388, 4.461]], "species": ["Pt", "Pt", "N", "Ru", "N", "Ru", "N", "N"], "frac_coords": [[0.750, 0.250, 0.500], [0.000, 0.000, 0.000], [0.595, 0.125, 0.250], [0.500, 0.500, 0.000], [0.155, 0.625, 0.250], [0.250, 0.750, 0.500], [0.375, 0.405, 0.750], [0.875, 0.845, 0.750]], "e_form_raw_kj_per_mol_fu": 242, "sg": "I-42d, No. 122", "dft_energy_ev_per_atom": -7.3651, "relative_energy_mev_per_atom": 186}

***

Entry 6:
{"formula": "LaPbW", "functional": "PBE", "state": "optimized geometry", "lattice_angstrom": [[8.044, -0.003, 0.002], [7.208, 3.092, -0.005], [0.836, -0.798, 2.991]], "species": ["W", "Pb", "La"], "frac_coords": [[0.670, 0.670, 0.330], [0.315, 0.315, 0.685], [0.015, 0.015, 0.985]], "sg": "Fmm2, No. 42", "ef_ev_per_atom": 0.630, "dft_energy_ev_per_atom": -6.5667, "relative_energy_mev_per_atom": 60}